Entry 1:
The following is a DFT calculation (PBE) of crystalline Zn4GaAg3 at its relaxed geometry.

```
data_Zn4GaAg3
_symmetry_space_group_name_H-M 'P 4/m m m'
_symmetry_Int_Tables_number 123
_symmetry_space_group_name_Hall '-P 4 2'
_cell_length_a 2.890
_cell_length_b 2.890
_cell_length_c 15.691
_cell_angle_alpha 90.00
_cell_angle_beta 90.00
_cell_angle_gamma 90.00
loop_
_atom_site_label
_atom_site_type_symbol
_atom_site_fract_x
_atom_site_fract_y
_atom_site_fract_z
_atom_site_occupancy
Zn1 Zn 0.000 0.000 0.124 1
Zn2 Zn 0.000 0.000 0.375 1
Ga1 Ga 0.500 0.500 0.500 1
Ag1 Ag 0.500 0.500 0.000 1
Ag2 Ag 0.500 0.500 0.248 1
```

Calculated values
Excess energy over the best structure of this formula in the dataset in eV/atom: 0.000
ΔE_f in eV per atom: 0.00
V in A^3/atom: 16.38

=====

Entry 2:
The following is a DFT calculation (PBE) of crystalline NaHg2Bi2 at its relaxed geometry.

```
data_NaHg2Bi2
_symmetry_space_group_name_H-M 'C 1 2/m 1'
_symmetry_Int_Tables_number 12
_cell_length_a 10.400
_cell_length_b 4.662
_cell_length_c 7.757
_cell_angle_alpha 90.00
_cell_angle_beta 130.27
_cell_angle_gamma 90.00
loop_
_symmetry_equiv_pos_as_xyz
'x,y,z'
'-x,-y,-z'
'-x,y,-z'
'x,-y,z'
'x+1/2,y+1/2,z'
'-x+1/2,-y+1/2,-z'
'-x+1/2,y+1/2,-z'
'x+1/2,-y+1/2,z'
loop_
_atom_site_label
_atom_site_type_symbol
_atom_site_fract_x
_atom_site_fract_y
_atom_site_fract_z
_atom_site_occupancy
Na1 Na 0.000 0.000 0.000 1
Hg1 Hg 0.114 0.500 0.826 1
Bi1 Bi 0.198 0.000 0.589 1
```

Calculated values
Excess energy over the best structure of this formula in the dataset in eV/atom: 0.000
ΔE_f in eV per atom: -0.12
V in A^3/atom: 28.70

=====

Entry 3:
The following is a DFT calculation (PBE) of crystalline NpTl2Ag2O6 at its relaxed geometry.

```
data_NpTl2Ag2O6
_symmetry_space_group_name_H-M 'C 1 2/m 1'
_symmetry_Int_Tables_number 12
_cell_length_a 6.642
_cell_length_b 9.665
_cell_length_c 7.119
_cell_angle_alpha 90.00
_cell_angle_beta 117.22
_cell_angle_gamma 90.00
loop_
_symmetry_equiv_pos_as_xyz
'x,y,z'
'-x,-y,-z'
'-x,y,-z'
'x,-y,z'
'x+1/2,y+1/2,z'
'-x+1/2,-y+1/2,-z'
'-x+1/2,y+1/2,-z'
'x+1/2,-y+1/2,z'
loop_
_atom_site_label
_atom_site_type_symbol
_atom_site_fract_x
_atom_site_fract_y
_atom_site_fract_z
_atom_site_occupancy
Np1 Np 0.000 0.000 0.000 1
Tl1 Tl 0.000 0.182 0.500 1
Ag1 Ag 0.000 0.335 0.000 1
O1 O 0.177 0.147 0.212 1
O2 O 0.228 0.000 0.866 1
```

Calculated values
Formation energy without anion corrections in eV per atom: -1.2163
V in A^3/atom: 18.47

=====

Entry 4:
The following is a DFT calculation (PBE) of crystalline Dy3BC3 at its relaxed geometry.

```
data_Dy3BC3
_symmetry_space_group_name_H-M 'P 63/m'
_symmetry_Int_Tables_number 176
_symmetry_space_group_name_Hall '-P 6c'
_cell_length_a 6.9433
_cell_length_b 6.9433
_cell_length_c 5.1548
_cell_angle_alpha 90.00
_cell_angle_beta 90.00
_cell_angle_gamma 120.00
loop_
_atom_site_label
_atom_site_type_symbol
_atom_site_fract_x
_atom_site_fract_y
_atom_site_fract_z
_atom_site_occupancy
Dy1 Dy 0.0669 0.7045 0.2500 1
B1 B 0.3333 0.6667 0.7500 1
C1 C 0.1050 0.6898 0.7500 1
```

Calculated values
ΔE_f in eV per atom: -0.32
V in A^3/atom: 15.37

=====

Entry 5:
The following is a DFT calculation (PBE) of crystalline KOsBr at its relaxed geometry.

```
data_KOsBr
_symmetry_space_group_name_H-M 'P 3 m 1'
_symmetry_Int_Tables_number 156
_cell_length_a 4.2044
_cell_length_b 4.2044
_cell_length_c 5.3690
_cell_angle_alpha 90.00
_cell_angle_beta 90.00
_cell_angle_gamma 120.00
loop_
_symmetry_equiv_pos_as_xyz
'x,y,z'
'-y,x-y,z'
'-x+y,-x,z'
'-y,-x,z'
'-x+y,y,z'
'x,x-y,z'
loop_
_atom_site_label
_atom_site_type_symbol
_atom_site_fract_x
_atom_site_fract_y
_atom_site_fract_z
_atom_site_occupancy
K1 K 0.0000 0.0000 0.0000 1
Os1 Os 0.6667 0.3333 0.5001 1
Br1 Br 0.3333 0.6667 0.5010 1
```

Calculated values
Formation energy without anion corrections in eV per atom: 0.9360
Excess energy over the best structure of this formula in the dataset in eV/atom: 0.000
V in A^3/atom: 27.40

=====

Entry 6:
The following is a DFT calculation (PBE) of crystalline Sc11Ir4 at its relaxed geometry.

```
data_Sc11Ir4
_symmetry_space_group_name_H-M 'F m -3 m'
_symmetry_Int_Tables_number 225
_symmetry_space_group_name_Hall '-F 4 2 3'
_cell_length_a 13.382
_cell_length_b 13.382
_cell_length_c 13.382
_cell_angle_alpha 90.00
_cell_angle_beta 90.00
_cell_angle_gamma 90.00
loop_
_atom_site_label
_atom_site_type_symbol
_atom_site_fract_x
_atom_site_fract_y
_atom_site_fract_z
_atom_site_occupancy
Sc1 Sc 0.000 0.000 0.198 1
Sc2 Sc 0.117 0.117 0.383 1
Sc3 Sc 0.157 0.157 0.157 1
Ir1 Ir 0.000 0.000 0.000 1
Ir2 Ir 0.000 0.000 0.500 1
Ir3 Ir 0.000 0.250 0.250 1
```

Calculated values
ΔE_f in eV per atom: -0.69
V in A^3/atom: 19.97

=====

Entry 7:
The following is a DFT calculation (PBE) of crystalline LaPm2Pr6 at its relaxed geometry.

```
data_LaPm2Pr6
_symmetry_space_group_name_H-M 'C m m m'
_symmetry_Int_Tables_number 65
_symmetry_space_group_name_Hall '-C 2 2'
_cell_length_a 10.135
_cell_length_b 17.646
_cell_length_c 3.601
_cell_angle_alpha 90.00
_cell_angle_beta 90.00
_cell_angle_gamma 90.00
loop_
_atom_site_label
_atom_site_type_symbol
_atom_site_fract_x
_atom_site_fract_y
_atom_site_fract_z
_atom_site_occupancy
La1 La 0.000 0.000 0.000 1
Pm1 Pm 0.000 0.333 0.000 1
Pr1 Pr 0.167 0.500 0.500 1
Pr2 Pr 0.168 0.167 0.500 1
```

Calculated values
Excess energy over the best structure of this formula in the dataset in eV/atom: 0.000
ΔE_f in eV per atom: 0.05
V in A^3/atom: 35.78

=====

Entry 8:
The following is a DFT calculation (PBE) of crystalline TbPu2RhN4 at its relaxed geometry.

```
data_TbPu2RhN4
_symmetry_space_group_name_H-M 'C m c m'
_symmetry_Int_Tables_number 63
_symmetry_space_group_name_Hall '-C 2c 2'
_cell_length_a 3.377
_cell_length_b 11.431
_cell_length_c 11.673
_cell_angle_alpha 90.00
_cell_angle_beta 90.00
_cell_angle_gamma 90.00
loop_
_atom_site_label
_atom_site_type_symbol
_atom_site_fract_x
_atom_site_fract_y
_atom_site_fract_z
_atom_site_occupancy
Tb1 Tb 0.000 0.113 0.250 1
Pu1 Pu 0.000 0.371 0.055 1
Rh1 Rh 0.000 0.148 0.750 1
N1 N 0.000 0.000 0.000 1
N2 N 0.000 0.271 0.611 1
N3 N 0.000 0.462 0.250 1
```

Calculated values
Formation energy without anion corrections in eV per atom: -0.9223
V in A^3/atom: 14.08

=====

Entry 9:
The following is a DFT calculation (PBE) of crystalline CaSiNi2 at its relaxed geometry.

```
data_CaSiNi2
_symmetry_space_group_name_H-M 'P 1 2/m 1'
_symmetry_Int_Tables_number 10
_cell_length_a 2.854
_cell_length_b 3.525
_cell_length_c 6.354
_cell_angle_alpha 90.00
_cell_angle_beta 100.84
_cell_angle_gamma 90.00
loop_
_symmetry_equiv_pos_as_xyz
'x,y,z'
'-x,-y,-z'
'-x,y,-z'
'x,-y,z'
loop_
_atom_site_label
_atom_site_type_symbol
_atom_site_fract_x
_atom_site_fract_y
_atom_site_fract_z
_atom_site_occupancy
Ca1 Ca 0.000 0.000 0.000 1
Si1 Si 0.000 0.000 0.500 1
Ni1 Ni 0.386 0.500 0.677 1
```

Calculated values
Formation energy without anion corrections in eV per atom: -0.1772
V in A^3/atom: 15.70

=====

Entry 10:
The following is a DFT calculation (PBE) of crystalline ZnHN at its relaxed geometry.

```
data_ZnHN
_symmetry_space_group_name_H-M 'P 1 21/m 1'
_symmetry_Int_Tables_number 11
_cell_length_a 3.802
_cell_length_b 3.803
_cell_length_c 4.962
_cell_angle_alpha 90.00
_cell_angle_beta 93.31
_cell_angle_gamma 90.00
loop_
_symmetry_equiv_pos_as_xyz
'x,y,z'
'-x,-y,-z'
'-x,y+1/2,-z'
'x,-y+1/2,z'
loop_
_atom_site_label
_atom_site_type_symbol
_atom_site_fract_x
_atom_site_fract_y
_atom_site_fract_z
_atom_site_occupancy
Zn1 Zn 0.250 0.250 0.000 1
H1 H 0.222 0.750 0.616 1
N1 N 0.237 0.750 0.823 1
```

Calculated values
Excess energy over the best structure of this formula in the dataset in eV/atom: 0.000
V in A^3/atom: 11.94

=====

Entry 11:
The following is a DFT calculation (PBE) of crystalline Re5Ir at its relaxed geometry.

```
data_Re5Ir
_symmetry_space_group_name_H-M 'C m m m'
_symmetry_Int_Tables_number 65
_symmetry_space_group_name_Hall '-C 2 2'
_cell_length_a 3.899
_cell_length_b 11.767
_cell_length_c 3.892
_cell_angle_alpha 90.00
_cell_angle_beta 90.00
_cell_angle_gamma 90.00
loop_
_atom_site_label
_atom_site_type_symbol
_atom_site_fract_x
_atom_site_fract_y
_atom_site_fract_z
_atom_site_occupancy
Re1 Re 0.000 0.000 0.000 1
Re2 Re 0.000 0.166 0.500 1
Re3 Re 0.000 0.335 0.000 1
Ir1 Ir 0.000 0.500 0.500 1
```

Calculated values
Excess energy over the best structure of this formula in the dataset in eV/atom: 0.092
ΔE_f in eV per atom: -0.03
V in A^3/atom: 14.88

=====

Entry 12:
The following is a DFT calculation (PBE) of crystalline BaLaHgBi at its relaxed geometry.

```
data_BaLaHgBi
_symmetry_space_group_name_H-M 'F -4 3 m'
_symmetry_Int_Tables_number 216
_symmetry_space_group_name_Hall 'F -4 2 3'
_cell_length_a 8.213
_cell_length_b 8.213
_cell_length_c 8.213
_cell_angle_alpha 90.00
_cell_angle_beta 90.00
_cell_angle_gamma 90.00
loop_
_atom_site_label
_atom_site_type_symbol
_atom_site_fract_x
_atom_site_fract_y
_atom_site_fract_z
_atom_site_occupancy
Ba1 Ba 0.000 0.000 0.000 1
La1 La 0.000 0.000 0.500 1
Hg1 Hg 0.250 0.250 0.250 1
Bi1 Bi 0.250 0.250 0.750 1
```

Calculated values
ΔE_f in eV per atom: -0.60
V in A^3/atom: 34.62

=====

Asked for M_tot across the records above, the calculation gives 0.0 0.0 0.5 0.0 0.0 0.0 0.0 7.1 0.0 0.0 0.0 0.0 μB/f.u. in order.